1.
First-principles (PBEsol) data for LaHfTc2 after structural relaxation, as listed in Alexandria via LeMat-Bulk.

Unit cell a=4.7212 b=4.7212 c=4.7212 alpha=60.00 beta=60.00 gamma=60.00
With the nearest neighbours (Å) after each atom.
Fractional coordinates of all 4 atoms:
La (0.0000, 0.0000, 0.0000)  8 Tc 2.89
Hf (0.5000, 0.5000, 0.5000)  8 Tc 2.89
Tc (0.2500, 0.2500, 0.2500)  4 Hf 2.89, 4 La 2.89
Tc (0.7500, 0.7500, 0.7500)  4 La 2.89, 4 Hf 2.89

Results
total magnetic moment = 0.000 μB/cell
final energy = -9.5149 eV per atom


2.
First-principles (PBEsol) data for La2Hf2Te after structural relaxation, as listed in Alexandria via LeMat-Bulk.

Unit cell a=8.4277 b=8.4277 c=8.4277 alpha=151.86 beta=151.86 gamma=40.22
With the nearest neighbours (Å) after each atom.
Fractional coordinates of all 5 atoms:
La (0.2500, 0.7500, 0.5000)  4 La 2.90
La (0.7500, 0.2500, 0.5000)  4 La 2.90
Hf (0.0836, 0.0836, 0.0000)  1 Hf 2.65
Hf (0.9164, 0.9164, 0.0000)  1 Hf 2.65
Te (0.5000, 0.5000, 0.0000)  8 Hf 3.19

Results
total magnetic moment = 0.000 μB/cell
energy relative to the elements, uncorrected = 0.564 eV per atom
final energy = -6.4813 eV per atom


3.
First-principles (PBEsol) data for LaHfTl2Te after structural relaxation, as listed in Alexandria via LeMat-Bulk.

Unit cell a=5.8147 b=5.8147 c=5.8155 alpha=90.00 beta=90.00 gamma=90.00
With the nearest neighbours (Å) after each atom.
Fractional coordinates of all 5 atoms:
La (0.0000, 0.0000, 0.0000)  4 Tl 2.91, 2 Te 2.91
Hf (0.5000, 0.5000, 0.5000)  4 Te 4.11, 8 Tl 4.11
Tl (0.0000, 0.5000, 0.0000)  2 La 2.91
Tl (0.5000, 0.0000, 0.0000)  2 La 2.91
Te (0.0000, 0.0000, 0.5000)  2 La 2.91

Results
total magnetic moment = 0.000 μB/cell
energy relative to the elements, uncorrected = 1.021 eV per atom
final energy = -3.9066 eV per atom


4.
First-principles (PBEsol) data for La2HfTi after structural relaxation, as listed in Alexandria via LeMat-Bulk.

Unit cell a=5.2265 b=5.2265 c=5.2265 alpha=60.00 beta=60.00 gamma=60.00
With the nearest neighbours (Å) after each atom.
Fractional coordinates of all 4 atoms:
La (0.2500, 0.2500, 0.2500)  4 Hf 3.20, 4 Ti 3.20
La (0.7500, 0.7500, 0.7500)  4 Hf 3.20, 4 Ti 3.20
Hf (0.0000, 0.0000, 0.0000)  8 La 3.20
Ti (0.5000, 0.5000, 0.5000)  8 La 3.20

Results
total magnetic moment = 0.420 μB/cell
final energy = -7.0160 eV per atom


5.
First-principles (PBEsol) data for La3HfTi after structural relaxation, as listed in Alexandria via LeMat-Bulk.

Unit cell a=5.3555 b=5.3555 c=5.3555 alpha=90.00 beta=90.00 gamma=90.00
With the nearest neighbours (Å) after each atom.
Fractional coordinates of all 5 atoms:
La (0.0000, 0.0000, 0.5000)  2 Ti 2.68
La (0.0000, 0.5000, 0.0000)  2 Ti 2.68
La (0.5000, 0.0000, 0.0000)  2 Ti 2.68
Hf (0.5000, 0.5000, 0.5000)  12 La 3.79
Ti (0.0000, 0.0000, 0.0000)  6 La 2.68

Results
total magnetic moment = 0.000 μB/cell
final energy = -6.1320 eV per atom


6.
First-principles (PBEsol) data for La3HfW after structural relaxation, as listed in Alexandria via LeMat-Bulk.

Unit cell a=5.4209 b=5.4209 c=5.4209 alpha=90.00 beta=90.00 gamma=90.00
With the nearest neighbours (Å) after each atom.
Fractional coordinates of all 5 atoms:
La (0.0000, 0.0000, 0.5000)  2 W 2.71
La (0.0000, 0.5000, 0.0000)  2 W 2.71
La (0.5000, 0.0000, 0.0000)  2 W 2.71
Hf (0.5000, 0.5000, 0.5000)  12 La 3.83
W (0.0000, 0.0000, 0.0000)  6 La 2.71

Results
total magnetic moment = 0.000 μB/cell
final energy = -7.1363 eV per atom


7.
First-principles (PBEsol) data for LiHf3Mg after structural relaxation, as listed in Alexandria via LeMat-Bulk.

Unit cell a=5.0211 b=5.0211 c=5.0211 alpha=90.00 beta=90.00 gamma=90.00
With the nearest neighbours (Å) after each atom.
Fractional coordinates of all 5 atoms:
Li (0.0000, 0.0000, 0.0000)  12 Hf 3.55
Hf (0.0000, 0.5000, 0.5000)  2 Mg 2.51
Hf (0.5000, 0.0000, 0.5000)  2 Mg 2.51
Hf (0.5000, 0.5000, 0.0000)  2 Mg 2.51
Mg (0.5000, 0.5000, 0.5000)  6 Hf 2.51

Results
total magnetic moment = 0.001 μB/cell
final energy = -5.6120 eV per atom


8.
First-principles (PBEsol) data for Li2HfMg after structural relaxation, as listed in Alexandria via LeMat-Bulk.

Unit cell a=5.9266 b=5.9266 c=5.9266 alpha=104.03 beta=104.03 gamma=121.01
With the nearest neighbours (Å) after each atom.
Fractional coordinates of all 8 atoms:
Li (0.1078, 0.1250, 0.4828)  2 Mg 2.60, 2 Hf 2.77
Li (0.3750, 0.8922, 0.0172)  2 Mg 2.60, 2 Hf 2.77
Li (0.6422, 0.6250, 0.5172)  2 Mg 2.60, 2 Hf 2.77
Li (0.8750, 0.3578, 0.9828)  2 Mg 2.60, 2 Hf 2.77
Hf (0.2500, 0.7500, 0.5000)  4 Li 2.77, 2 Mg 2.92
Hf (0.5000, 0.5000, 0.0000)  4 Li 2.77, 2 Mg 2.92
Mg (0.0000, 0.0000, 0.0000)  4 Li 2.60
Mg (0.7500, 0.2500, 0.5000)  4 Li 2.60

Results
total magnetic moment = 0.001 μB/cell
final energy = -3.4137 eV per atom